Record 1
Compound: GaNiOs
Source: Alexandria via LeMat-Bulk
Functional: GGA-PBE
Structure: relaxed

Results
calculated density = 13267 kg/m3
raw total energy = -6.744 eV/atom
Fermi-level density of states = 2.03 states/eV/f.u.
energy of formation from the pure elements = -0.06 eV per atom

The structure in CIF format:
```
data_GaNiOs
_cell_length_a 2.711
_cell_length_b 13.462
_cell_length_c 4.371
_cell_angle_alpha 90.00
_cell_angle_beta 90.00
_cell_angle_gamma 90.00
_space_group_name_H-M_alt 'C m c m'
_space_group_IT_number 63
_space_group_name_Hall '-C 2c 2'
loop_
_atom_site_label
_atom_site_fract_x
_atom_site_fract_y
_atom_site_fract_z
Ga1 0.000 0.059 0.250
Ni1 0.000 0.395 0.250
Os1 0.000 0.276 0.750
```

Record 2
Compound: Ni2As8Os
Source: Alexandria via LeMat-Bulk
Functional: GGA-PBE
Structure: relaxed

Results
calculated density = 6740 kg/m3
raw total energy = -5.352 eV/atom
Fermi-level density of states = 2.89 states/eV/f.u.
energy of formation from the pure elements = 0.10 eV per atom

The structure in CIF format:
```
data_Ni2As8Os
_cell_length_a 13.171
_cell_length_b 7.480
_cell_length_c 4.577
_cell_angle_alpha 90.00
_cell_angle_beta 97.65
_cell_angle_gamma 90.00
_space_group_name_H-M_alt 'C 1 2/m 1'
_space_group_IT_number 12
_space_group_name_Hall '-C 2y'
loop_
_atom_site_label
_atom_site_fract_x
_atom_site_fract_y
_atom_site_fract_z
Ni1 0.194 0.000 0.370
As1 0.075 0.247 0.220
As2 0.129 0.500 0.572
As3 0.159 0.000 0.852
Os1 0.000 0.000 0.500
```

Record 3
Compound: CaSe2F
Source: Alexandria via LeMat-Bulk
Functional: GGA-PBE
Structure: relaxed

Results
calculated density = 2880 kg/m3
raw total energy = -3.684 eV/atom
Fermi-level density of states = 3.83 states/eV/f.u.
E_form (uncorrected) = -3.89 eV per formula unit
polymorph energy (0 for the lowest one) = 635 meV/atom

The structure in CIF format:
```
data_CaSe2F
_cell_length_a 4.6762
_cell_length_b 4.6762
_cell_length_c 19.8167
_cell_angle_alpha 90.00
_cell_angle_beta 90.00
_cell_angle_gamma 120.00
_space_group_name_H-M_alt 'R -3 m'
_space_group_IT_number 166
_space_group_name_Hall '-R 3 2"'
loop_
_atom_site_label
_atom_site_fract_x
_atom_site_fract_y
_atom_site_fract_z
Ca1 0.0000 0.0000 0.0000
Se1 0.0000 0.0000 0.3935
F1 0.0000 0.0000 0.5000
```

Record 4
Compound: BaMoOs4
Source: Alexandria via LeMat-Bulk
Functional: GGA-PBE
Structure: relaxed

Results
calculated density = 15180 kg/m3
raw total energy = -8.667 eV/atom
Fermi-level density of states = 6.35 states/eV/f.u.
energy of formation from the pure elements = 0.95 eV per atom

The structure in CIF format:
```
data_BaMoOs4
_cell_length_a 7.577
_cell_length_b 7.577
_cell_length_c 7.577
_cell_angle_alpha 90.00
_cell_angle_beta 90.00
_cell_angle_gamma 90.00
_space_group_name_H-M_alt 'F -4 3 m'
_space_group_IT_number 216
_space_group_name_Hall 'F -4 2 3'
loop_
_atom_site_label
_atom_site_fract_x
_atom_site_fract_y
_atom_site_fract_z
Ba1 0.000 0.000 0.000
Mo1 0.250 0.250 0.750
Os1 0.125 0.125 0.375
```

Record 5
Compound: TbUTe2Se
Source: Alexandria via LeMat-Bulk
Functional: GGA-PBE
Structure: relaxed

Results
calculated density = 8400 kg/m3
raw total energy = -6.186 eV/atom
Fermi-level density of states = 8.38 states/eV/f.u.
E_form (uncorrected) = -5.24 eV per formula unit

The structure in CIF format:
```
data_TbUTe2Se
_cell_length_a 4.371
_cell_length_b 4.371
_cell_length_c 15.132
_cell_angle_alpha 90.00
_cell_angle_beta 90.00
_cell_angle_gamma 90.00
_space_group_name_H-M_alt 'P 4/n m m'
_space_group_IT_number 129
loop_
_space_group_symop_operation_xyz
'x,y,z'
'-x,-y,-z'
'-y+1/2,x,z'
'y+1/2,-x,-z'
'-x+1/2,-y+1/2,z'
'x+1/2,y+1/2,-z'
'y,-x+1/2,z'
'-y,x+1/2,-z'
'x+1/2,-y,-z'
'-x+1/2,y,z'
'-y,-x,-z'
'y,x,z'
'-x,y+1/2,-z'
'x,-y+1/2,z'
'y+1/2,x+1/2,-z'
'-y+1/2,-x+1/2,z'
loop_
_atom_site_label
_atom_site_fract_x
_atom_site_fract_y
_atom_site_fract_z
Tb1 0.250 0.250 0.089
U1 0.250 0.250 0.625
Te1 0.250 0.250 0.295
Te2 0.250 0.250 0.882
Se1 0.250 0.750 0.500
```

Record 6
Compound: AlIn2Te
Source: Alexandria via LeMat-Bulk
Functional: GGA-PBE
Structure: relaxed

Results
calculated density = 6209 kg/m3
raw total energy = -2.927 eV/atom
Fermi-level density of states = 2.51 states/eV/f.u.
E_form (uncorrected) = 0.65 eV per formula unit
polymorph energy (0 for the lowest one) = 205 meV/atom

The structure in CIF format:
```
data_AlIn2Te
_cell_length_a 3.2979
_cell_length_b 3.2979
_cell_length_c 32.7271
_cell_angle_alpha 90.00
_cell_angle_beta 90.00
_cell_angle_gamma 120.00
_space_group_name_H-M_alt 'R -3 m'
_space_group_IT_number 166
_space_group_name_Hall '-R 3 2"'
loop_
_atom_site_label
_atom_site_fract_x
_atom_site_fract_y
_atom_site_fract_z
Al1 0.0000 0.0000 0.0000
In1 0.0000 0.0000 0.2583
Te1 0.0000 0.0000 0.5000
```

Record 7
Compound: NpPdRh
Source: Alexandria via LeMat-Bulk
Functional: GGA-PBE
Structure: relaxed

Results
calculated density = 13457 kg/m3
raw total energy = -8.604 eV/atom
Fermi-level density of states = 6.59 states/eV/f.u.
energy of formation from the pure elements = -0.11 eV per atom
polymorph energy (0 for the lowest one) = 66 meV/atom

The structure in CIF format:
```
data_NpPdRh
_cell_length_a 5.613
_cell_length_b 4.945
_cell_length_c 7.937
_cell_angle_alpha 90.00
_cell_angle_beta 90.00
_cell_angle_gamma 90.00
_space_group_name_H-M_alt 'A m a 2'
_space_group_IT_number 40
_space_group_name_Hall 'A 2 -2a'
loop_
_atom_site_label
_atom_site_fract_x
_atom_site_fract_y
_atom_site_fract_z
Np1 0.250 0.075 0.000
Pd1 0.000 0.000 0.331
Rh1 0.250 0.090 0.643
```

Record 8
Compound: Pu2MgSnAu6
Source: Alexandria via LeMat-Bulk
Functional: GGA-PBE
Structure: relaxed

Results
calculated density = 13553 kg/m3
raw total energy = -5.675 eV/atom
Fermi-level density of states = 27.41 states/eV/f.u.
energy of formation from the pure elements = -0.28 eV per atom

The structure in CIF format:
```
data_Pu2MgSnAu6
_cell_length_a 5.564
_cell_length_b 6.861
_cell_length_c 7.041
_cell_angle_alpha 90.37
_cell_angle_beta 113.13
_cell_angle_gamma 113.64
_space_group_name_H-M_alt 'P -1'
_space_group_IT_number 2
_space_group_name_Hall '-P 1'
loop_
_atom_site_label
_atom_site_fract_x
_atom_site_fract_y
_atom_site_fract_z
Pu1 0.236 0.243 0.231
Mg1 0.000 0.500 0.500
Sn1 0.500 0.000 0.000
Au1 0.177 0.191 0.664
Au2 0.240 0.558 0.919
Au3 0.326 0.806 0.336
```

Record 9
Compound: In2CuBi2
Source: Alexandria via LeMat-Bulk
Functional: GGA-PBE
Structure: relaxed

Results
calculated density = 8141 kg/m3
raw total energy = -3.292 eV/atom
Fermi-level density of states = 1.65 states/eV/f.u.
energy of formation from the pure elements = 0.17 eV per atom
polymorph energy (0 for the lowest one) = 0 meV/atom

The structure in CIF format:
```
data_In2CuBi2
_cell_length_a 7.238
_cell_length_b 7.238
_cell_length_c 5.538
_cell_angle_alpha 90.00
_cell_angle_beta 90.00
_cell_angle_gamma 90.00
_space_group_name_H-M_alt 'P 4/m b m'
_space_group_IT_number 127
_space_group_name_Hall '-P 4 2ab'
loop_
_atom_site_label
_atom_site_fract_x
_atom_site_fract_y
_atom_site_fract_z
In1 0.166 0.334 0.000
Cu1 0.000 0.000 0.500
Bi1 0.155 0.655 0.500
```

Record 10
Compound: NdFeSi3Ir
Source: Alexandria via LeMat-Bulk
Functional: GGA-PBE
Structure: relaxed

Results
calculated density = 7238 kg/m3
raw total energy = -6.863 eV/atom
Fermi-level density of states = 3.71 states/eV/f.u.
E_form (uncorrected) = -2.82 eV per formula unit

The structure in CIF format:
```
data_NdFeSi3Ir
_cell_length_a 6.171
_cell_length_b 12.216
_cell_length_c 5.801
_cell_angle_alpha 90.00
_cell_angle_beta 90.00
_cell_angle_gamma 90.00
_space_group_name_H-M_alt 'C m c m'
_space_group_IT_number 63
_space_group_name_Hall '-C 2c 2'
loop_
_atom_site_label
_atom_site_fract_x
_atom_site_fract_y
_atom_site_fract_z
Nd1 0.000 0.217 0.250
Fe1 0.000 0.030 0.750
Si1 0.000 0.202 0.750
Si2 0.215 0.500 0.000
Ir1 0.000 0.386 0.750
```